Entry 1:
# Zr6Sn3P

A geometry-optimized Zr6Sn3P structure (GGA-PBE, the Alexandria database).

Values from the calculation:
M_tot = 0.00 μB per cell
ΔH_f (0 K) = -0.53 eV per atom

Unit cell a=5.6254 b=7.9618 c=11.5290 alpha=90.00 beta=118.74 gamma=90.00
Closest atoms and distances in Å follow each position.
Space group P2_1/c (No. 14)
Unique sites:
1 Zr 0.0408 0.1542 0.4347 x4  1 P 2.62, 1 Sn 2.89
2 Zr 0.3494 0.6943 0.4311 x4  1 P 2.57
3 Zr 0.3953 0.0309 0.2644 x4  1 P 2.50, 1 Sn 2.79
4 Sn 0.0000 0.0000 0.0000 x2  6 Zr 2.79-2.90
5 Sn 0.1602 0.1238 0.7624 x4  7 Zr 2.93-3.23
6 P 0.5000 0.0000 0.5000 x2  6 Zr 2.50-2.62

Entry 2:
# RbInGa2Tc

A geometry-optimized RbInGa2Tc structure (GGA-PBE, the Alexandria database).

Values from the calculation:
M_tot = 0.00 μB per cell
ΔH_f (0 K) = -0.07 eV per atom

Unit cell a=4.9829 b=4.9829 c=5.2719 alpha=90.00 beta=90.00 gamma=90.00
Closest atoms and distances in Å follow each position.
Space group P4/mmm (No. 123)
Unique sites:
1 Rb 0.0000 0.0000 0.0000 x1  4 In 3.52, 8 Ga 3.63
2 In 0.5000 0.5000 0.0000 x1  2 Tc 2.64
3 Ga 0.0000 0.5000 0.5000 x2  2 Tc 2.49
4 Tc 0.5000 0.5000 0.5000 x1  4 Ga 2.49, 2 In 2.64